Record 1
CaPaNiS4: optimized geometry, PBE.

Lattice parameters (Å, degrees): 6.427 5.700 7.891 90.00 106.09 90.00
Fractional coordinates of all 14 atoms:
Ca: 0.233 0.250 0.438
Ca: 0.767 0.750 0.562
Pa: 0.243 0.250 0.938
Pa: 0.757 0.750 0.062
Ni: 0.262 0.750 0.167
Ni: 0.738 0.250 0.833
S: 0.065 0.750 0.365
S: 0.070 0.750 0.894
S: 0.483 0.512 0.761
S: 0.483 0.988 0.761
S: 0.517 0.012 0.239
S: 0.517 0.488 0.239
S: 0.930 0.250 0.106
S: 0.935 0.250 0.635

- space group = P2_1/m, No. 11
- ΔE_f (raw) (meV per atom) = -1413.0
- total energy (eV per atom) = -6.240



Record 2
Rb2NaS2: optimized geometry, PBE.

Lattice parameters (Å, degrees): 7.990 7.990 4.872 90.00 90.00 90.00
Fractional coordinates of all 10 atoms:
Rb: 0.151 0.349 0.000
Rb: 0.349 0.849 0.000
Rb: 0.651 0.151 0.000
Rb: 0.849 0.651 0.000
Na: 0.000 0.000 0.500
Na: 0.500 0.500 0.500
S: 0.149 0.649 0.500
S: 0.351 0.149 0.500
S: 0.649 0.851 0.500
S: 0.851 0.351 0.500

- space group = P4/mbm, No. 127
- ΔE_f (raw) (meV per atom) = -726.0
- total energy (eV per atom) = -3.028



Record 3
K2Sb2PdPb: optimized geometry, PBE.

Lattice parameters (Å, degrees): 9.583 9.583 9.583 138.19 61.54 136.99
Fractional coordinates of all 12 atoms:
K: 0.172 0.223 0.395
K: 0.328 0.723 0.051
K: 0.672 0.277 0.949
K: 0.828 0.777 0.605
Sb: 0.099 0.696 0.795
Sb: 0.401 0.196 0.597
Sb: 0.599 0.804 0.403
Sb: 0.901 0.304 0.205
Pd: 0.250 0.750 0.500
Pd: 0.750 0.250 0.500
Pb: 0.250 0.250 0.000
Pb: 0.750 0.750 0.000

- space group = Ibam, No. 72
- ΔE_f (raw) (meV per atom) = -324.5
- total energy (eV per atom) = -3.548



Record 4
La3ErBi2: optimized geometry, PBE.

Lattice parameters (Å, degrees): 9.300 9.300 9.300 134.28 73.19 126.23
Fractional coordinates of all 12 atoms:
La: 0.053 0.750 0.303
La: 0.250 0.250 0.000
La: 0.447 0.750 0.697
La: 0.553 0.250 0.303
La: 0.750 0.750 0.000
La: 0.947 0.250 0.697
Er: 0.000 0.500 0.500
Er: 0.500 0.000 0.500
Bi: 0.147 0.164 0.311
Bi: 0.353 0.664 0.017
Bi: 0.647 0.336 0.983
Bi: 0.853 0.836 0.689

- energy of formation from the pure elements (eV per atom) = -0.460
- space group = Ibam, No. 72
- total energy (eV per atom) = -4.978



Record 5
TbH9C5N2O8: optimized geometry, PBE.

Lattice parameters (Å, degrees): 6.777 6.777 6.621 106.52 106.52 65.24
Fractional coordinates of all 25 atoms:
Tb: 0.000 0.000 0.000
H: 0.168 0.464 0.115
H: 0.269 0.489 0.536
H: 0.363 0.206 0.405
H: 0.511 0.731 0.464
H: 0.536 0.832 0.885
H: 0.540 0.440 0.825
H: 0.560 0.460 0.175
H: 0.794 0.637 0.595
H: 0.923 0.077 0.500
C: 0.053 0.470 0.958
C: 0.073 0.927 0.500
C: 0.530 0.947 0.042
C: 0.536 0.290 0.705
C: 0.710 0.464 0.295
N: 0.375 0.329 0.536
N: 0.671 0.625 0.464
O: 0.001 0.639 0.875
O: 0.149 0.840 0.667
O: 0.160 0.851 0.333
O: 0.361 0.999 0.125
O: 0.676 0.102 0.733
O: 0.686 0.016 0.127
O: 0.898 0.324 0.267
O: 0.984 0.314 0.873

- space group = C2, No. 5
- total energy (eV per atom) = -6.509



Record 6
Ce6Mg2CoN: optimized geometry, PBE.

Lattice parameters (Å, degrees): 7.208 7.208 7.208 120.06 120.06 89.89
Fractional coordinates of all 10 atoms:
Ce: 0.237 0.237 0.000
Ce: 0.238 0.238 0.475
Ce: 0.238 0.762 0.000
Ce: 0.762 0.238 0.000
Ce: 0.762 0.762 0.525
Ce: 0.763 0.763 0.000
Mg: 0.250 0.750 0.500
Mg: 0.750 0.250 0.500
Co: 0.500 0.500 0.000
N: 0.000 0.000 0.000

- space group = I4/mmm, No. 139
- ΔE_f (raw) (meV per atom) = -217.1
- total energy (eV per atom) = -5.640



Record 7
Tb4PmMgS8: optimized geometry, PBE.

Lattice parameters (Å, degrees): 8.055 8.055 8.055 59.81 59.81 59.81
Fractional coordinates of all 14 atoms:
Tb: 0.000 0.000 0.000
Tb: 0.377 0.377 0.866
Tb: 0.377 0.866 0.377
Tb: 0.866 0.377 0.377
Pm: 0.377 0.377 0.377
Mg: 0.750 0.750 0.750
S: 0.129 0.129 0.602
S: 0.129 0.602 0.129
S: 0.133 0.133 0.133
S: 0.133 0.624 0.624
S: 0.602 0.129 0.129
S: 0.621 0.621 0.621
S: 0.624 0.133 0.624
S: 0.624 0.624 0.133

- space group = R3m, No. 160
- ΔE_f (raw) (meV per atom) = -1907.5
- total energy (eV per atom) = -6.042



Record 8
Ce7TlAu2: optimized geometry, PBE.

Lattice parameters (Å, degrees): 8.721 8.721 5.112 90.00 90.00 121.85
Fractional coordinates of all 10 atoms:
Ce: 0.000 0.000 0.000
Ce: 0.223 0.455 0.000
Ce: 0.271 0.729 0.500
Ce: 0.455 0.223 0.000
Ce: 0.545 0.777 0.000
Ce: 0.729 0.271 0.500
Ce: 0.777 0.545 0.000
Tl: 0.500 0.500 0.500
Au: 0.190 0.810 0.000
Au: 0.810 0.190 0.000

- energy of formation from the pure elements (eV per atom) = 0.089
- space group = Cmmm, No. 65
- total energy (eV per atom) = -4.957